Version P
Material: LiS2BrN
Method: DFT, PBE
State: optimized geometry

Lattice parameters (Å, degrees): 5.0584 5.0584 3.8298 90.00 90.00 90.00
With the nearest neighbours (Å) after each atom.
Space group P4/mmm (No. 123)
Unique sites:
Li 0.0000 0.0000 0.0000 [1 per cell]  8 S 3.17
S 0.0000 0.5000 0.5000 [2 per cell]  2 Br 2.53
Br 0.5000 0.5000 0.5000 [1 per cell]  2 N 1.91
N 0.5000 0.5000 0.0000 [1 per cell]  2 Br 1.91

## Properties
- Density: 2.8 g/cm³
- N(E_F): 3.0 states/eV/cell

=====

Version Q
Material: LiS2BrN
Method: DFT, PBE
State: optimized geometry

Lattice parameters (Å, degrees): 3.8356 3.8356 8.2841 90.00 90.00 90.00
With the nearest neighbours (Å) after each atom.
Space group P4/mmm (No. 123)
Unique sites:
Li 0.0000 0.0000 0.0000 [1 per cell]  4 Br 2.71
S 0.0000 0.5000 0.5000 [2 per cell]  2 N 1.92
Br 0.5000 0.5000 0.0000 [1 per cell]  4 Li 2.71
N 0.5000 0.5000 0.5000 [1 per cell]  4 S 1.92

## Properties
- Density: 2.2 g/cm³
- N(E_F): 5.0 states/eV/cell

=====

Stability, lowest: version P

=====

Version P
Material: Na2LiBr
Method: DFT, PBE
State: optimized geometry

Lattice parameters (Å, degrees): 7.8098 7.8098 7.8098 90.00 90.00 90.00
With the nearest neighbours (Å) after each atom.
Space group Fm-3m (No. 225)
Unique sites:
Na 0.2500 0.2500 0.2500 [8 per cell]  4 Li 3.38, 4 Br 3.38
Li 0.0000 0.0000 0.0000 [4 per cell]  8 Na 3.38
Br 0.0000 0.0000 0.5000 [4 per cell]  8 Na 3.38

## Properties
- Density: 1.9 g/cm³
- N(E_F): 0.0 states/eV/cell

=====

Version Q
Material: Na2LiBr
Method: DFT, PBE
State: optimized geometry

Lattice parameters (Å, degrees): 8.4050 8.4050 7.8397 90.00 90.00 90.00
With the nearest neighbours (Å) after each atom.
Space group I-42d (No. 122)
Unique sites:
Na 0.2001 0.2500 0.1250 [8 per cell]  2 Br 2.86
Li 0.0000 0.0000 0.5000 [4 per cell]  4 Na 3.42
Br 0.0000 0.0000 0.0000 [4 per cell]  4 Na 2.86

## Properties
- Density: 1.6 g/cm³
- N(E_F): 7.7 states/eV/cell

=====

Stability, lowest: version P